K2BaRe (GGA-PBE, relaxed); energy above the lowest structure with this stoichiometry = 378.6 meV/atom; energy relative to the elements = 1.494 eV per atom; space-group type = No. 65
1.0
3.3362 -6.4726 0.0000
3.3362 6.4726 0.0000
0.0000 0.0000 3.0989
K Ba Re
2 1 1
Cartesian
1.6681 3.2363 0.0000
1.6681 -3.2363 0.0000
0.0000 0.0000 1.5495
3.3362 0.0000 1.5495

***

RbAgRuCl6 (GGA-PBE, relaxed); formation energy (no corrections) = -79.6 kJ/mol of atoms; space-group type = No. 149
1.0
6.8002 0.0000 0.0000
-3.4001 5.8892 0.0000
0.0000 0.0000 7.0564
Rb Ag Ru Cl
1 1 1 6
Cartesian
0.0000 0.0000 0.0000
0.0000 3.9261 3.5282
3.4001 1.9631 3.5282
2.5094 0.2538 4.8777
1.4745 2.0463 2.1787
4.2909 0.2538 2.1787
2.3652 3.5891 4.8777
5.3258 2.0463 4.8777
4.4351 3.5891 2.1787